(1)
! PBE-GGA Ba3VN3, optimized geometry; values from VASP
! relative energy among the computed polymorphs: 70 meV per atom
! electronic total energy: -6.416 eV per atom
! ΔE_f (raw): -0.72 eV per atom
&SYSTEM
  ibrav = 0, nat = 28, ntyp = 3
/
ATOMIC_SPECIES
Ba 137.33 Ba.upf
V 50.94 V.upf
N 14.01 N.upf
ATOMIC_POSITIONS angstrom
Ba 1.2311 0.9148 1.2810
Ba 2.0129 2.7445 5.5581
Ba 3.0042 2.7445 9.3328
Ba 6.1278 0.9148 3.5594
Ba 7.1190 0.9148 11.3315
Ba 7.9009 2.7445 7.0544
Ba 10.3630 0.9148 4.4925
Ba 11.1449 2.7445 0.2153
Ba 12.1361 2.7445 7.9875
Ba 15.2598 0.9148 2.2141
Ba 16.2510 0.9148 5.9888
Ba 17.0329 2.7445 10.2659
V 0.5697 0.9148 8.1200
V 8.5623 2.7445 2.3466
V 9.7016 0.9148 9.2003
V 17.6942 2.7445 3.4269
N 0.1258 0.9148 3.9138
N 0.7491 0.9148 9.9066
N 2.2206 0.9148 7.5078
N 6.9113 2.7445 1.7343
N 8.3829 2.7445 4.1332
N 9.0061 2.7445 9.6873
N 9.2578 0.9148 1.8596
N 9.8810 0.9148 7.4137
N 11.3526 0.9148 9.8126
N 16.0433 2.7445 4.0391
N 17.5148 2.7445 1.6403
N 18.1381 2.7445 7.6331
CELL_PARAMETERS angstrom
18.2639 0.0000 0.0000
0.0000 3.6594 0.0000
0.0000 0.0000 11.5469

***

(2)
! PBE-GGA Ba3VN3, optimized geometry; values from VASP
! relative energy among the computed polymorphs: 0 meV per atom
! electronic total energy: -6.486 eV per atom
! ΔE_f (raw): -0.79 eV per atom
&SYSTEM
  ibrav = 0, nat = 14, ntyp = 3
/
ATOMIC_SPECIES
Ba 137.33 Ba.upf
V 50.94 V.upf
N 14.01 N.upf
ATOMIC_POSITIONS angstrom
Ba -1.0183 2.7429 1.3477
Ba -1.4817 7.0731 1.3477
Ba 1.8663 2.2533 4.0430
Ba 2.5001 5.3094 1.3477
Ba 5.8481 0.4896 4.0430
Ba 5.3846 4.8198 4.0430
V 0.0000 5.0418 4.0430
V 4.3663 2.5209 1.3477
N -0.7867 3.4277 4.0430
N -1.0045 6.5301 4.0430
N 2.5751 2.3951 1.3477
N 1.7912 5.1676 4.0430
N 5.3708 1.0326 1.3477
N 5.1530 4.1350 1.3477
CELL_PARAMETERS angstrom
8.7326 0.0000 0.0000
-4.3663 7.5627 0.0000
0.0000 0.0000 5.3906

***

(3)
! PBE-GGA Ba3V2N4, optimized geometry; values from VASP
! electronic total energy: -7.248 eV per atom
! ΔE_f (raw): -0.88 eV per atom
&SYSTEM
  ibrav = 0, nat = 18, ntyp = 3
/
ATOMIC_SPECIES
Ba 137.33 Ba.upf
V 50.94 V.upf
N 14.01 N.upf
ATOMIC_POSITIONS angstrom
Ba 2.9500 4.0750 -0.5760
Ba 0.0000 1.8297 0.5304
Ba 0.0000 6.3204 0.5304
Ba 2.9500 1.8297 3.3981
Ba 2.9500 6.3204 3.3981
Ba 0.0000 4.0750 4.5045
V 2.9500 -0.6651 1.1160
V 2.9500 7.4850 -1.1160
V 0.0000 0.6651 5.0445
V 0.0000 8.8151 2.8125
N 2.9500 1.2242 0.6649
N 1.4750 6.7687 -1.9643
N 1.4750 -1.3813 1.9643
N 0.0000 1.2242 3.2636
N 2.9500 6.9259 0.6649
N -1.4750 9.5313 1.9643
N 1.4750 9.5313 1.9643
N 0.0000 6.9259 3.2636
CELL_PARAMETERS angstrom
-2.9500 8.1500 3.9285
2.9500 -8.1500 3.9285
2.9500 8.1500 -3.9285

***

(4)
! PBE-GGA Ba2VWN5, optimized geometry; values from VASP
! electronic total energy: -8.219 eV per atom
! ΔE_f (raw): -0.71 eV per atom
&SYSTEM
  ibrav = 0, nat = 18, ntyp = 4
/
ATOMIC_SPECIES
Ba 137.33 Ba.upf
V 50.94 V.upf
W 183.84 W.upf
N 14.01 N.upf
ATOMIC_POSITIONS angstrom
Ba 1.6511 5.9709 5.7219
Ba 1.6511 5.6701 1.5639
Ba 1.6511 -5.6701 7.2859
Ba 1.6511 -5.9709 0.0000
V 1.6511 0.9308 2.9636
V 1.6511 -0.9308 8.6855
W 1.6511 4.4815 9.6776
W 1.6511 -4.4815 3.9557
N 1.6511 6.9960 9.5747
N 1.6511 3.1212 5.0956
N 1.6511 2.7351 2.4417
N 1.6511 2.7065 9.3747
N 1.6511 0.0743 1.4812
N 1.6511 -0.0743 7.2032
N 1.6511 -2.7065 3.6528
N 1.6511 -2.7351 8.1637
N 1.6511 -3.1212 10.8176
N 1.6511 -6.9960 3.8528
CELL_PARAMETERS angstrom
1.6511 -7.7024 0.0000
1.6511 7.7024 0.0000
0.0000 0.0000 11.4439